First-principles (PBE) data for Ba8SbP4 after structural relaxation, as listed in Alexandria via LeMat-Bulk.

POSCAR file:
```
Ba8SbP4
1.0
-8.342 -0.631 -4.372
7.998 -1.581 -4.758
0.065 -6.914 6.512
Ba Sb P
8 1 4
direct
0.708 0.040 0.206
0.167 0.499 0.206
0.688 0.497 0.185
0.189 0.025 0.214
0.811 0.975 0.786
0.312 0.503 0.815
0.833 0.501 0.794
0.292 0.960 0.794
0.000 0.500 0.500
0.241 0.241 0.000
0.759 0.759 0.000
0.272 0.775 0.047
0.728 0.225 0.953
```

* D(E_F): 3.50 states/eV/cell
* uncorrected formation energy: -89.3 kJ per mole of atoms
* energy above the lowest structure with this stoichiometry: 0.000 eV/atom

First-principles (PBE) data for BaSbP3 after structural relaxation, as listed in Alexandria via LeMat-Bulk.

POSCAR file:
```
BaSbP3
1.0
5.534 0.000 0.000
0.000 5.534 0.000
0.000 0.000 5.534
Sb Ba P
1 1 3
direct
0.500 0.500 0.500
0.000 0.000 0.000
0.000 0.500 0.000
0.000 0.000 0.500
0.500 0.000 0.000
```

* D(E_F): 5.40 states/eV/cell
* uncorrected formation energy: 145.6 kJ per mole of atoms
* energy above the lowest structure with this stoichiometry: 1.327 eV/atom

First-principles (PBE) data for BaSb2P after structural relaxation, as listed in Alexandria via LeMat-Bulk.

POSCAR file:
```
BaSb2P
1.0
-2.146 2.724 3.051
1.520 -2.667 3.450
4.396 3.019 0.396
Ba Sb P
1 2 1
direct
0.500 0.500 0.500
0.000 0.500 0.000
0.500 0.000 0.000
0.000 0.000 0.500
```

* D(E_F): 3.08 states/eV/cell
* uncorrected formation energy: -21.0 kJ per mole of atoms

First-principles (PBE) data for Ba8SbP4 after structural relaxation, as listed in Alexandria via LeMat-Bulk.

POSCAR file:
```
Ba8SbP4
1.0
9.653 0.000 0.000
4.827 8.360 0.000
4.827 2.787 7.882
Ba Sb P
8 1 4
direct
0.583 0.139 0.139
0.139 0.583 0.139
0.139 0.139 0.583
0.139 0.139 0.139
0.174 0.609 0.609
0.609 0.174 0.609
0.609 0.609 0.174
0.609 0.609 0.609
0.750 0.750 0.750
0.885 0.372 0.372
0.372 0.885 0.372
0.372 0.372 0.885
0.372 0.372 0.372
```

* D(E_F): 2.01 states/eV/cell
* uncorrected formation energy: -87.0 kJ per mole of atoms
* energy above the lowest structure with this stoichiometry: 0.025 eV/atom